5
Lattice="4.111 0.000 0.000 0.000 4.111 0.000 0.000 0.000 4.248" Properties=species:S:1:pos:R:3 comment="GGA-PBEsol CaMoNO2, relaxed" formation_energy_uncorrected_mev_per_atom=686.6 spacegroup="P4/mmm (123)" pbc="T T T"
Ca 0.000 0.000 0.000
Mo 2.056 2.056 2.124
N 0.000 0.000 2.124
O 0.000 2.056 0.000
O 2.056 0.000 0.000